Record 1
Material: BaNaSn2Br
Method: DFT, PBE-GGA
State: relaxed

Unit cell a=5.9643 b=5.9643 c=5.2329 alpha=90.00 beta=90.00 gamma=90.00
With the nearest neighbours (Å) after each atom.
Atoms (fractional coordinates):
1 Ba 0.0000 0.0000 0.0000  8 Sn 3.97, 4 Na 4.22
2 Na 0.5000 0.5000 0.0000  2 Br 2.62
3 Sn 0.0000 0.5000 0.5000  2 Br 2.98
4 Sn 0.5000 0.0000 0.5000  2 Br 2.98
5 Br 0.5000 0.5000 0.5000  2 Na 2.62

Its space group is P4/mmm. The calculation puts the energy relative to the elements, uncorrected at -224 meV/atom.

=====

Record 2
Material: Ba2Cu2O3
Method: DFT, PBE-GGA
State: relaxed

Unit cell a=11.9016 b=3.6828 c=5.6417 alpha=90.00 beta=101.73 gamma=90.00
With the nearest neighbours (Å) after each atom.
Atoms (fractional coordinates):
1 Ba 0.1416 0.0000 0.2213  3 O 2.63-2.70
2 Ba 0.3584 0.5000 0.7787  3 O 2.63-2.70
3 Ba 0.6416 0.5000 0.2213  3 O 2.63-2.70
4 Ba 0.8584 0.0000 0.7787  3 O 2.63-2.70
5 Cu 0.0946 0.5000 0.7062  3 O 1.98-2.19
6 Cu 0.4054 0.0000 0.2938  3 O 1.98-2.19
7 Cu 0.5946 0.0000 0.7062  3 O 1.98-2.19
8 Cu 0.9054 0.5000 0.2938  3 O 1.98-2.19
9 O 0.0000 0.5000 0.0000  2 Cu 2.19
10 O 0.1544 0.0000 0.7040  2 Cu 1.98
11 O 0.3456 0.5000 0.2960  2 Cu 1.98
12 O 0.5000 0.0000 0.0000  2 Cu 2.19
13 O 0.6544 0.5000 0.7040  2 Cu 1.98
14 O 0.8456 0.0000 0.2960  2 Cu 1.98

Its space group is C2/m. The calculation puts the energy above the most stable polymorph in this dataset at 151 meV per atom. The calculation puts the energy relative to the elements, uncorrected at -1507 meV/atom.

=====

Record 3
Material: Th4S4N
Method: DFT, PBE-GGA
State: relaxed

Unit cell a=7.2390 b=7.2390 c=7.2390 alpha=125.62 beta=125.62 gamma=80.51
With the nearest neighbours (Å) after each atom.
Atoms (fractional coordinates):
1 Th 0.0713 0.6669 0.0000  1 N 2.38
2 Th 0.3331 0.3331 0.4044  1 N 2.38
3 Th 0.6669 0.0713 0.0000  1 N 2.38
4 Th 0.9287 0.9287 0.5956  1 N 2.38
5 S 0.0000 0.5000 0.5000  4 Th 2.79
6 S 0.3239 0.3239 0.0000  4 Th 2.83-2.85
7 S 0.5000 0.0000 0.5000  4 Th 2.79
8 S 0.6761 0.6761 0.0000  4 Th 2.83-2.85
9 N 0.0000 0.0000 0.0000  4 Th 2.38

Its space group is I-42m. The calculation puts the energy relative to the elements, uncorrected at -1511 meV/atom.

=====

Record 4
Material: NbBSN2
Method: DFT, PBE-GGA
State: relaxed

Unit cell a=3.4916 b=3.4916 c=4.1531 alpha=90.00 beta=90.00 gamma=90.00
With the nearest neighbours (Å) after each atom.
Atoms (fractional coordinates):
1 Nb 0.0000 0.0000 0.0000  4 S 2.47, 8 N 2.71
2 B 0.5000 0.5000 0.5000  4 N 1.75
3 S 0.5000 0.5000 0.0000  2 B 2.08
4 N 0.0000 0.5000 0.5000  2 B 1.75
5 N 0.5000 0.0000 0.5000  2 B 1.75

Its space group is P4/mmm. The calculation puts the energy above the most stable polymorph in this dataset at 0 meV per atom. The calculation puts the energy relative to the elements, uncorrected at 864 meV/atom.

=====

Record 5
Material: Li3PtO4
Method: DFT, PBE-GGA
State: relaxed

Unit cell a=4.2014 b=4.2014 c=8.4136 alpha=90.00 beta=90.00 gamma=90.00
With the nearest neighbours (Å) after each atom.
Atoms (fractional coordinates):
1 Li 0.0000 0.0000 0.0000  6 O 2.10-2.26
2 Li 0.0000 0.5000 0.2500  6 O 2.10-2.11
3 Li 0.0000 0.5000 0.7500  6 O 2.10-2.11
4 Li 0.5000 0.0000 0.2500  6 O 2.10-2.11
5 Li 0.5000 0.0000 0.7500  6 O 2.10-2.11
6 Li 0.5000 0.5000 0.5000  6 O 2.10-2.26
7 Pt 0.0000 0.0000 0.5000  6 O 1.94-2.10
8 Pt 0.5000 0.5000 0.0000  6 O 1.94-2.10
9 O 0.0000 0.0000 0.2692  1 Pt 1.94, 4 Li 2.11
10 O 0.0000 0.0000 0.7308  1 Pt 1.94, 4 Li 2.11
11 O 0.0000 0.5000 0.0000  4 Li 2.10, 2 Pt 2.10
12 O 0.0000 0.5000 0.5000  4 Li 2.10, 2 Pt 2.10
13 O 0.5000 0.0000 0.0000  4 Li 2.10, 2 Pt 2.10
14 O 0.5000 0.0000 0.5000  4 Li 2.10, 2 Pt 2.10
15 O 0.5000 0.5000 0.2308  1 Pt 1.94, 4 Li 2.11
16 O 0.5000 0.5000 0.7692  1 Pt 1.94, 4 Li 2.11

Its space group is I4/mmm. The calculation puts the energy above the most stable polymorph in this dataset at 121 meV per atom. The calculation puts the energy relative to the elements, uncorrected at -1229 meV/atom.

=====

Record 6
Material: BaNiRh2
Method: DFT, PBE-GGA
State: relaxed

Unit cell a=6.7029 b=6.7029 c=6.7029 alpha=90.00 beta=90.00 gamma=90.00
With the nearest neighbours (Å) after each atom.
Atoms (fractional coordinates):
1 Ba 0.0000 0.0000 0.0000  8 Rh 2.90
2 Ba 0.0000 0.5000 0.5000  8 Rh 2.90
3 Ba 0.5000 0.0000 0.5000  8 Rh 2.90
4 Ba 0.5000 0.5000 0.0000  8 Rh 2.90
5 Ni 0.0000 0.0000 0.5000  8 Rh 2.90
6 Ni 0.0000 0.5000 0.0000  8 Rh 2.90
7 Ni 0.5000 0.0000 0.0000  8 Rh 2.90
8 Ni 0.5000 0.5000 0.5000  8 Rh 2.90
9 Rh 0.2500 0.2500 0.2500  4 Ba 2.90, 4 Ni 2.90
10 Rh 0.2500 0.2500 0.7500  4 Ba 2.90, 4 Ni 2.90
11 Rh 0.2500 0.7500 0.2500  4 Ba 2.90, 4 Ni 2.90
12 Rh 0.2500 0.7500 0.7500  4 Ba 2.90, 4 Ni 2.90
13 Rh 0.7500 0.2500 0.2500  4 Ba 2.90, 4 Ni 2.90
14 Rh 0.7500 0.2500 0.7500  4 Ba 2.90, 4 Ni 2.90
15 Rh 0.7500 0.7500 0.2500  4 Ba 2.90, 4 Ni 2.90
16 Rh 0.7500 0.7500 0.7500  4 Ni 2.90, 4 Ba 2.90

As for the formation energy: 0.568 eV per atom. Its space group is Fm-3m.

=====

Record 7
Material: La2Nd4Co
Method: DFT, PBE-GGA
State: relaxed

Unit cell a=5.2592 b=5.2592 c=17.7446 alpha=90.00 beta=90.00 gamma=90.00
With the nearest neighbours (Å) after each atom.
Atoms (fractional coordinates):
1 La 0.0000 0.0000 0.1569  1 Nd 3.28
2 La 0.0000 0.0000 0.8431  1 Nd 3.28
3 La 0.5000 0.5000 0.3431  1 Nd 3.28
4 La 0.5000 0.5000 0.6569  1 Nd 3.28
5 Nd 0.0000 0.0000 0.3416  1 Co 2.81
6 Nd 0.0000 0.0000 0.6584  1 Co 2.81
7 Nd 0.0000 0.5000 0.0000  2 Co 2.63
8 Nd 0.0000 0.5000 0.5000  2 Co 2.63
9 Nd 0.5000 0.0000 0.0000  2 Co 2.63
10 Nd 0.5000 0.0000 0.5000  2 Co 2.63
11 Nd 0.5000 0.5000 0.1584  1 Co 2.81
12 Nd 0.5000 0.5000 0.8416  1 Co 2.81
13 Co 0.0000 0.0000 0.5000  6 Nd 2.63-2.81
14 Co 0.5000 0.5000 0.0000  6 Nd 2.63-2.81

As for the formation energy: 0.225 eV per atom. Its space group is I4/mmm.

=====

Record 8
Material: Pm2NbF
Method: DFT, PBE-GGA
State: relaxed

Unit cell a=3.1979 b=3.1979 c=29.7985 alpha=90.00 beta=90.00 gamma=120.00
With the nearest neighbours (Å) after each atom.
Atoms (fractional coordinates):
1 Pm 0.0000 0.0000 0.1007  3 F 2.70, 1 Nb 3.00
2 Pm 0.0000 0.0000 0.8993  3 F 2.70, 1 Nb 3.00
3 Pm 0.3333 0.6667 0.5660  3 F 2.70, 1 Nb 3.00
4 Pm 0.3333 0.6667 0.7674  3 F 2.70, 1 Nb 3.00
5 Pm 0.6667 0.3333 0.2326  3 F 2.70, 1 Nb 3.00
6 Pm 0.6667 0.3333 0.4340  3 F 2.70, 1 Nb 3.00
7 Nb 0.0000 0.0000 0.0000  2 Pm 3.00, 6 Nb 3.20
8 Nb 0.3333 0.6667 0.6667  2 Pm 3.00, 6 Nb 3.20
9 Nb 0.6667 0.3333 0.3333  2 Pm 3.00, 6 Nb 3.20
10 F 0.0000 0.0000 0.5000  6 Pm 2.70
11 F 0.3333 0.6667 0.1667  6 Pm 2.70
12 F 0.6667 0.3333 0.8333  6 Pm 2.70

Its space group is R-3m. The calculation puts the energy relative to the elements, uncorrected at -608 meV/atom.

=====

Record 9
Material: Na3BS4
Method: DFT, PBE-GGA
State: relaxed

Unit cell a=6.8629 b=6.8629 c=6.8629 alpha=90.00 beta=90.00 gamma=90.00
With the nearest neighbours (Å) after each atom.
Atoms (fractional coordinates):
1 Na 0.0000 0.0000 0.5000  4 S 2.80
2 Na 0.0000 0.5000 0.0000  4 S 2.80
3 Na 0.5000 0.0000 0.0000  4 S 2.80
4 B 0.0000 0.0000 0.0000  4 S 1.91
5 S 0.1610 0.1610 0.1610  1 B 1.91
6 S 0.1610 0.8390 0.8390  1 B 1.91
7 S 0.8390 0.1610 0.8390  1 B 1.91
8 S 0.8390 0.8390 0.1610  1 B 1.91

Its space group is P-43m. The calculation puts the energy relative to the elements, uncorrected at -534 meV/atom.

=====

Record 10
Material: KZrPb2
Method: DFT, PBE-GGA
State: relaxed

Unit cell a=3.3100 b=3.3100 c=11.5835 alpha=90.00 beta=90.00 gamma=90.00
With the nearest neighbours (Å) after each atom.
Atoms (fractional coordinates):
1 K 0.0000 0.0000 0.0000  4 K 3.31
2 Zr 0.5000 0.5000 0.7131  4 Pb 3.22, 4 Zr 3.31
3 Pb 0.0000 0.0000 0.5217  4 Zr 3.22, 4 Pb 3.31
4 Pb 0.5000 0.5000 0.2718  4 Pb 3.31

As for the formation energy: 0.320 eV per atom. Its space group is P4mm. The calculation puts the energy above the most stable polymorph in this dataset at 472 meV per atom.

=====

Record 11
Material: KNb2Co
Method: DFT, PBE-GGA
State: relaxed

Unit cell a=6.5214 b=6.5214 c=6.5214 alpha=90.00 beta=90.00 gamma=90.00
With the nearest neighbours (Å) after each atom.
Atoms (fractional coordinates):
1 K 0.0000 0.0000 0.0000  8 Nb 2.82
2 K 0.0000 0.5000 0.5000  8 Nb 2.82
3 K 0.5000 0.0000 0.5000  8 Nb 2.82
4 K 0.5000 0.5000 0.0000  8 Nb 2.82
5 Nb 0.2500 0.2500 0.2500  4 K 2.82, 4 Co 2.82
6 Nb 0.2500 0.2500 0.7500  4 K 2.82, 4 Co 2.82
7 Nb 0.2500 0.7500 0.2500  4 K 2.82, 4 Co 2.82
8 Nb 0.2500 0.7500 0.7500  4 K 2.82, 4 Co 2.82
9 Nb 0.7500 0.2500 0.2500  4 K 2.82, 4 Co 2.82
10 Nb 0.7500 0.2500 0.7500  4 K 2.82, 4 Co 2.82
11 Nb 0.7500 0.7500 0.2500  4 K 2.82, 4 Co 2.82
12 Nb 0.7500 0.7500 0.7500  4 K 2.82, 4 Co 2.82
13 Co 0.0000 0.0000 0.5000  8 Nb 2.82
14 Co 0.0000 0.5000 0.0000  8 Nb 2.82
15 Co 0.5000 0.0000 0.0000  8 Nb 2.82
16 Co 0.5000 0.5000 0.5000  8 Nb 2.82

As for the formation energy: 1.325 eV per atom. Its space group is Fm-3m. The calculation puts the energy above the most stable polymorph in this dataset at 0 meV per atom.

=====

Record 12
Material: Ac3Al11
Method: DFT, PBE-GGA
State: relaxed

Unit cell a=8.8053 b=8.8053 c=8.8053 alpha=150.25 beta=108.17 gamma=79.63
With the nearest neighbours (Å) after each atom.
Atoms (fractional coordinates):
1 Ac 0.0000 0.0000 0.0000  16 Al 3.38-3.67
2 Ac 0.3162 0.3162 0.0000  12 Al 3.31-3.37
3 Ac 0.6838 0.6838 0.0000  12 Al 3.31-3.37
4 Al 0.0311 0.6657 0.3655  5 Al 2.70-2.82
5 Al 0.1355 0.8622 0.2733  6 Al 2.70-2.99
6 Al 0.2796 0.5000 0.7796  6 Al 2.70-2.93
7 Al 0.3002 0.6657 0.6345  5 Al 2.70-2.82
8 Al 0.4111 0.1378 0.2733  6 Al 2.70-2.99
9 Al 0.5000 0.0000 0.5000  8 Al 2.99-3.21
10 Al 0.5889 0.8622 0.7267  6 Al 2.70-2.99
11 Al 0.6998 0.3343 0.3655  5 Al 2.70-2.82
12 Al 0.7204 0.5000 0.2204  6 Al 2.70-2.93
13 Al 0.8645 0.1378 0.7267  6 Al 2.70-2.99
14 Al 0.9689 0.3343 0.6345  5 Al 2.70-2.82

As for the formation energy: -0.316 eV per atom. Its space group is Immm.

=====

| no. | density of states at the Fermi level (states/eV/atom) |
| --- | --- |
| 1 | 0.86 |
| 2 | 0.01 |
| 3 | 1.11 |
| 4 | 0.52 |
| 5 | 0.57 |
| 6 | 2.23 |
| 7 | 1.52 |
| 8 | 0.79 |
| 9 | 0.97 |
| 10 | 0.80 |
| 11 | 0.90 |
| 12 | 0.32 |